(1)
LiMn3H after structural relaxation, computed with PBE.

Unit cell a=3.7125 b=3.7125 c=3.7125 alpha=90.00 beta=90.00 gamma=90.00
Sites, in units of the cell vectors:
Mn 0.5000 0.0000 0.0000
Mn 0.0000 0.5000 0.0000
Mn 0.0000 0.0000 0.5000
Li 0.5000 0.5000 0.5000
H 0.0000 0.0000 0.0000

Output
D(E_F)	1.00	states/eV per atom
space-group type	No. 221
energy relative to the lowest polymorph listed for this composition	0.0	kJ/mol of formula units

=====

(2)
Li2MnH2 after structural relaxation, computed with PBE.

Unit cell a=6.4503 b=6.4503 c=2.5157 alpha=90.00 beta=90.00 gamma=90.00
Sites, in units of the cell vectors:
H 0.6455 0.8545 0.5000
H 0.1455 0.6455 0.5000
H 0.8545 0.3545 0.5000
H 0.3545 0.1455 0.5000
Li 0.8716 0.6284 0.0000
Li 0.1284 0.3716 0.0000
Li 0.6284 0.1284 0.0000
Li 0.3716 0.8716 0.0000
Mn 0.0000 0.0000 0.0000
Mn 0.5000 0.5000 0.0000

Output
D(E_F)	0.29	states/eV per atom
space-group type	No. 127
energy relative to the lowest polymorph listed for this composition	0.0	kJ/mol of formula units

=====

(3)
Li3MnH6 after structural relaxation, computed with PBE.

Unit cell a=4.8568 b=4.8568 c=4.8568 alpha=92.50 beta=118.57 gamma=118.57
Sites, in units of the cell vectors:
H 0.0000 0.7575 0.7575
H 0.3245 0.3245 0.0000
H 0.3245 0.0000 0.3245
H 0.6755 0.6755 0.0000
H 0.6755 0.0000 0.6755
H 0.0000 0.2425 0.2425
Li 0.5000 0.7500 0.2500
Li 0.0000 0.5000 0.5000
Li 0.5000 0.2500 0.7500
Mn 0.0000 0.0000 0.0000

Output
D(E_F)	0.35	states/eV per atom
space-group type	No. 139
energy relative to the lowest polymorph listed for this composition	68.1	kJ/mol of formula units

=====

(4)
LiMnH2 after structural relaxation, computed with PBE.

Unit cell a=2.6471 b=2.6471 c=4.8394 alpha=74.13 beta=74.13 gamma=60.00
Sites, in units of the cell vectors:
Mn 0.0000 0.0000 0.0000
H 0.2649 0.2649 0.2053
H 0.7351 0.7351 0.7947
Li 0.5000 0.5000 0.5000

Output
D(E_F)	0.35	states/eV per atom
space-group type	No. 166
energy relative to the lowest polymorph listed for this composition	0.0	kJ/mol of formula units

=====

(5)
LiMnH2 after structural relaxation, computed with PBE.

Unit cell a=2.7044 b=2.7137 c=4.6688 alpha=90.00 beta=125.34 gamma=90.00
Sites, in units of the cell vectors:
Li 0.2839 0.5686 0.8532
H 0.7837 0.5688 0.3532
H 0.7838 0.0688 0.8532
Mn 0.2838 0.0685 0.3532

Output
D(E_F)	0.43	states/eV per atom
space-group type	No. 123
energy relative to the lowest polymorph listed for this composition	18.6	kJ/mol of formula units

=====

(6)
LiMnH2 after structural relaxation, computed with PBE.

Unit cell a=3.4239 b=3.4239 c=3.4239 alpha=60.00 beta=60.00 gamma=60.00
Sites, in units of the cell vectors:
H 0.2500 0.2500 0.2500
H 0.7500 0.7500 0.7500
Mn 0.5000 0.5000 0.5000
Li 0.0000 0.0000 0.0000

Output
D(E_F)	0.45	states/eV per atom
space-group type	No. 225
energy relative to the lowest polymorph listed for this composition	171.0	kJ/mol of formula units

=====

(7)
Li3MnH after structural relaxation, computed with PBE.

Unit cell a=4.0443 b=4.0443 c=4.0443 alpha=90.00 beta=90.00 gamma=90.00
Sites, in units of the cell vectors:
Mn 0.5000 0.5000 0.5000
H 0.0000 0.0000 0.0000
Li 0.0000 0.0000 0.5000
Li 0.0000 0.5000 0.0000
Li 0.5000 0.0000 0.0000

Output
D(E_F)	0.55	states/eV per atom
space-group type	No. 221
VASP energy	-0.1269	Ha/atom

=====

(8)
LiMnH2 after structural relaxation, computed with PBE.

Unit cell a=4.6792 b=4.6792 c=4.4435 alpha=58.23 beta=58.23 gamma=90.00
Sites, in units of the cell vectors:
Li 0.5000 0.5000 0.0000
Li 0.2500 0.7500 0.5000
Mn 0.0000 0.0000 0.0000
Mn 0.7500 0.2500 0.5000
H 0.0930 0.6250 0.2500
H 0.6570 0.1250 0.2500
H 0.8750 0.9070 0.7500
H 0.3750 0.3430 0.7500

Output
D(E_F)	0.51	states/eV per atom
space-group type	No. 122
energy relative to the lowest polymorph listed for this composition	51.6	kJ/mol of formula units

=====

(9)
LiMn3H after structural relaxation, computed with PBE.

Unit cell a=4.3743 b=4.3743 c=4.3743 alpha=90.00 beta=90.00 gamma=90.00
Sites, in units of the cell vectors:
Mn 0.5000 0.0000 0.0000
Mn 0.0000 0.0000 0.5000
Mn 0.0000 0.5000 0.0000
Li 0.0000 0.0000 0.0000
H 0.5000 0.5000 0.5000

Output
D(E_F)	1.00	states/eV per atom
space-group type	No. 221
energy relative to the lowest polymorph listed for this composition	612.4	kJ/mol of formula units

=====

(10)
LiMnH4 after structural relaxation, computed with PBE.

Unit cell a=4.4855 b=4.9750 c=4.9552 alpha=111.52 beta=107.62 gamma=107.37
Sites, in units of the cell vectors:
H 0.8132 0.7538 0.6965
H 0.6412 0.3175 0.1292
H 0.3588 0.6825 0.8708
H 0.1868 0.2462 0.3035
H 0.6168 0.0574 0.3035
H 0.0121 0.1883 0.8708
H 0.3832 0.9426 0.6965
H 0.9879 0.8117 0.1292
Mn 0.2626 0.0126 0.0252
Mn 0.7374 0.9874 0.9748
Li 0.3941 0.6441 0.2883
Li 0.6059 0.3559 0.7117

Output
space-group type	No. 15
energy relative to the lowest polymorph listed for this composition	42.3	kJ/mol of formula units

=====

(11)
Li3MnH6 after structural relaxation, computed with PBE.

Unit cell a=5.4627 b=5.4627 c=5.4627 alpha=90.92 beta=90.92 gamma=90.92
Sites, in units of the cell vectors:
H 0.9536 0.7088 0.0546
H 0.7088 0.0546 0.9536
H 0.4454 0.7912 0.5464
H 0.2912 0.9454 0.0464
H 0.5464 0.4454 0.7912
H 0.2088 0.4536 0.5546
H 0.0546 0.9536 0.7088
H 0.7912 0.5464 0.4454
H 0.0464 0.2912 0.9454
H 0.4536 0.5546 0.2088
H 0.9454 0.0464 0.2912
H 0.5546 0.2088 0.4536
Li 0.7500 0.4210 0.0790
Li 0.2500 0.5790 0.9210
Li 0.9210 0.2500 0.5790
Li 0.0790 0.7500 0.4210
Li 0.5790 0.9210 0.2500
Li 0.4210 0.0790 0.7500
Mn 0.0000 0.0000 0.0000
Mn 0.5000 0.5000 0.5000

Output
D(E_F)	0.36	states/eV per atom
space-group type	No. 167
energy relative to the lowest polymorph listed for this composition	0.0	kJ/mol of formula units

=====

(12)
Li2MnH2 after structural relaxation, computed with PBE.

Unit cell a=3.2170 b=3.2170 c=4.4435 alpha=68.78 beta=68.78 gamma=90.00
Sites, in units of the cell vectors:
Li 0.6620 0.6620 0.6760
Li 0.3380 0.3380 0.3240
H 0.2500 0.7500 0.5000
H 0.7500 0.2500 0.5000
Mn 0.0000 0.0000 0.0000

Output
D(E_F)	1.61	states/eV per atom
space-group type	No. 139
energy relative to the lowest polymorph listed for this composition	63.2	kJ/mol of formula units

=====

Please write out number 3 again, unchanged.
Li3MnH6 after structural relaxation, computed with PBE.

Unit cell a=4.8568 b=4.8568 c=4.8568 alpha=92.50 beta=118.57 gamma=118.57
Sites, in units of the cell vectors:
H 0.0000 0.7575 0.7575
H 0.3245 0.3245 0.0000
H 0.3245 0.0000 0.3245
H 0.6755 0.6755 0.0000
H 0.6755 0.0000 0.6755
H 0.0000 0.2425 0.2425
Li 0.5000 0.7500 0.2500
Li 0.0000 0.5000 0.5000
Li 0.5000 0.2500 0.7500
Mn 0.0000 0.0000 0.0000

Output
D(E_F)	0.35	states/eV per atom
space-group type	No. 139
energy relative to the lowest polymorph listed for this composition	68.1	kJ/mol of formula units